No. 1
## Tb8Nd3Sc2 (GGA-PBE)

Data for Tb8Nd3Sc2 after structural relaxation.

## Properties
- total magnetic moment (Bohr magnetons per cell) = 0.0
- SG = C2/m (12)

The structure in CIF format:
```
data_Tb8Nd3Sc2
_chemical_formula_sum 'Tb8 Nd3 Sc2'
_space_group_name_H-M_alt 'P 1'
_space_group_IT_number 1
_space_group_name_Hall 'P 1'
_cell_length_a 10.5353
_cell_length_b 10.5353
_cell_length_c 5.6271
_cell_angle_alpha 90.03
_cell_angle_beta 90.03
_cell_angle_gamma 43.24
loop_
_atom_site_label
_atom_site_type_symbol
_atom_site_fract_x
_atom_site_fract_y
_atom_site_fract_z
Tb1 Tb 0.0946 0.6781 0.9996
Tb2 Tb 0.1787 0.1787 0.5011
Tb3 Tb 0.3219 0.9054 0.0004
Tb4 Tb 0.3635 0.3635 0.5003
Tb5 Tb 0.6365 0.6365 0.4997
Tb6 Tb 0.6781 0.0946 0.9996
Tb7 Tb 0.8213 0.8213 0.4989
Tb8 Tb 0.9054 0.3219 0.0004
Nd1 Nd 0.2069 0.7931 0.5000
Nd2 Nd 0.5000 0.5000 0.0000
Nd3 Nd 0.7931 0.2069 0.5000
Sc1 Sc 0.2593 0.2593 0.0011
Sc2 Sc 0.7407 0.7407 0.9989
```

---

No. 2
## TbNd6Sc8 (GGA-PBE)

Data for TbNd6Sc8 after structural relaxation.

## Properties
- total magnetic moment (Bohr magnetons per cell) = 0.0
- SG = R-3 (148)

The structure in CIF format:
```
data_TbNd6Sc8
_chemical_formula_sum 'Tb1 Nd6 Sc8'
_space_group_name_H-M_alt 'P 1'
_space_group_IT_number 1
_space_group_name_Hall 'P 1'
_cell_length_a 7.9622
_cell_length_b 7.9622
_cell_length_c 7.9622
_cell_angle_alpha 71.58
_cell_angle_beta 71.58
_cell_angle_gamma 71.58
loop_
_atom_site_label
_atom_site_type_symbol
_atom_site_fract_x
_atom_site_fract_y
_atom_site_fract_z
Tb1 Tb 0.0000 0.0000 0.0000
Nd1 Nd 0.1684 0.6210 0.4277
Nd2 Nd 0.3790 0.5723 0.8316
Nd3 Nd 0.4277 0.1684 0.6210
Nd4 Nd 0.5723 0.8316 0.3790
Nd5 Nd 0.6210 0.4277 0.1684
Nd6 Nd 0.8316 0.3790 0.5723
Sc1 Sc 0.0485 0.3799 0.8725
Sc2 Sc 0.1275 0.9515 0.6201
Sc3 Sc 0.2253 0.2253 0.2253
Sc4 Sc 0.3799 0.8725 0.0485
Sc5 Sc 0.6201 0.1275 0.9515
Sc6 Sc 0.7747 0.7747 0.7747
Sc7 Sc 0.8725 0.0485 0.3799
Sc8 Sc 0.9515 0.6201 0.1275
```

---

No. 3
## Tb2Nd9Sc (GGA-PBE)

Data for Tb2Nd9Sc after structural relaxation.

## Properties
- total magnetic moment (Bohr magnetons per cell) = 0.0
- SG = P4/mmm (123)

The structure in CIF format:
```
data_Tb2Nd9Sc
_chemical_formula_sum 'Tb2 Nd9 Sc1'
_space_group_name_H-M_alt 'P 1'
_space_group_IT_number 1
_space_group_name_Hall 'P 1'
_cell_length_a 5.1260
_cell_length_b 5.1260
_cell_length_c 15.3908
_cell_angle_alpha 90.00
_cell_angle_beta 90.00
_cell_angle_gamma 90.00
loop_
_atom_site_label
_atom_site_type_symbol
_atom_site_fract_x
_atom_site_fract_y
_atom_site_fract_z
Tb1 Tb 0.0000 0.0000 0.1692
Tb2 Tb 0.0000 0.0000 0.8308
Nd1 Nd 0.0000 0.5000 0.0000
Nd2 Nd 0.0000 0.5000 0.3378
Nd3 Nd 0.0000 0.5000 0.6622
Nd4 Nd 0.5000 0.0000 0.0000
Nd5 Nd 0.5000 0.0000 0.3378
Nd6 Nd 0.5000 0.0000 0.6622
Nd7 Nd 0.5000 0.5000 0.1689
Nd8 Nd 0.5000 0.5000 0.5000
Nd9 Nd 0.5000 0.5000 0.8311
Sc1 Sc 0.0000 0.0000 0.5000
```

---

No. 4
## Tb6Nd8Sc (GGA-PBE)

Data for Tb6Nd8Sc after structural relaxation.

## Properties
- total magnetic moment (Bohr magnetons per cell) = 0.0
- energy relative to the lowest polymorph listed for this composition (eV per formula unit) = 0.79
- SG = R-3 (148)

The structure in CIF format:
```
data_Tb6Nd8Sc
_chemical_formula_sum 'Tb6 Nd8 Sc1'
_space_group_name_H-M_alt 'P 1'
_space_group_IT_number 1
_space_group_name_Hall 'P 1'
_cell_length_a 8.2210
_cell_length_b 8.2210
_cell_length_c 8.2210
_cell_angle_alpha 74.00
_cell_angle_beta 74.00
_cell_angle_gamma 74.00
loop_
_atom_site_label
_atom_site_type_symbol
_atom_site_fract_x
_atom_site_fract_y
_atom_site_fract_z
Tb1 Tb 0.0699 0.2839 0.6198
Tb2 Tb 0.2839 0.6198 0.0699
Tb3 Tb 0.3802 0.9301 0.7161
Tb4 Tb 0.6198 0.0699 0.2839
Tb5 Tb 0.7161 0.3802 0.9301
Tb6 Tb 0.9301 0.7161 0.3802
Nd1 Nd 0.0651 0.6503 0.7721
Nd2 Nd 0.2279 0.9349 0.3497
Nd3 Nd 0.3497 0.2279 0.9349
Nd4 Nd 0.4102 0.4102 0.4102
Nd5 Nd 0.5898 0.5898 0.5898
Nd6 Nd 0.6503 0.7721 0.0651
Nd7 Nd 0.7721 0.0651 0.6503
Nd8 Nd 0.9349 0.3497 0.2279
Sc1 Sc 0.0000 0.0000 0.0000
```

---

no.,DFT formation energy (kJ/mol of atoms),DFT total energy (eV/atom),Fermi-level density of states (states/eV per cell)
1,23,-4.683,19.379
2,18,-5.407,24.613
3,2,-4.851,19.642
4,17,-4.644,22.646